i) This record from the Alexandria database describes K2YZn2 after structural relaxation. The functional is GGA-PBE.

Structure (CIF):
```
data_K2YZn2
_space_group_name_H-M_alt 'P 4/m b m'
_space_group_IT_number 127
_space_group_name_Hall '-P 4 2ab'
_cell_length_a 7.543
_cell_length_b 7.543
_cell_length_c 6.029
_cell_angle_alpha 90.00
_cell_angle_beta 90.00
_cell_angle_gamma 90.00
loop_
_atom_site_label
_atom_site_type_symbol
_atom_site_fract_x
_atom_site_fract_y
_atom_site_fract_z
K1 K 0.177 0.323 0.000
Y1 Y 0.000 0.000 0.500
Zn1 Zn 0.119 0.619 0.500
```

Computed properties:
Its crystal system is tetragonal. For the density of states at the Fermi level, the calculation gives 2.99 states/eV/f.u.

ii) This record from the Alexandria database describes K2YZn2 after structural relaxation. The functional is GGA-PBE.

Structure (CIF):
```
data_K2YZn2
_space_group_name_H-M_alt 'I 4/m m m'
_space_group_IT_number 139
_space_group_name_Hall '-I 4 2'
_cell_length_a 4.459
_cell_length_b 4.459
_cell_length_c 15.486
_cell_angle_alpha 90.00
_cell_angle_beta 90.00
_cell_angle_gamma 90.00
loop_
_atom_site_label
_atom_site_type_symbol
_atom_site_fract_x
_atom_site_fract_y
_atom_site_fract_z
K1 K 0.000 0.500 0.250
Y1 Y 0.000 0.000 0.000
Zn1 Zn 0.000 0.000 0.421
```

Computed properties:
Its crystal system is tetragonal. For the density of states at the Fermi level, the calculation gives 4.19 states/eV/f.u.

Energy ordering: i) at the bottom, the next structure 9.2 kJ/mol of atoms above.

i) This record from the Alexandria database describes KYZn after structural relaxation. The functional is GGA-PBE.

Structure (CIF):
```
data_KYZn
_space_group_name_H-M_alt 'I 4 m m'
_space_group_IT_number 107
_space_group_name_Hall 'I 4 -2'
_cell_length_a 3.730
_cell_length_b 3.730
_cell_length_c 14.838
_cell_angle_alpha 90.00
_cell_angle_beta 90.00
_cell_angle_gamma 90.00
loop_
_atom_site_label
_atom_site_type_symbol
_atom_site_fract_x
_atom_site_fract_y
_atom_site_fract_z
K1 K 0.000 0.000 0.000
Y1 Y 0.000 0.000 0.737
Zn1 Zn 0.000 0.000 0.328
```

Computed properties:
Its crystal system is tetragonal. For the density of states at the Fermi level, the calculation gives 1.97 states/eV/f.u.

ii) This record from the Alexandria database describes KYZn after structural relaxation. The functional is GGA-PBE.

Structure (CIF):
```
data_KYZn
_space_group_name_H-M_alt 'F -4 3 m'
_space_group_IT_number 216
_space_group_name_Hall 'F -4 2 3'
_cell_length_a 7.465
_cell_length_b 7.465
_cell_length_c 7.465
_cell_angle_alpha 90.00
_cell_angle_beta 90.00
_cell_angle_gamma 90.00
loop_
_atom_site_label
_atom_site_type_symbol
_atom_site_fract_x
_atom_site_fract_y
_atom_site_fract_z
K1 K 0.000 0.000 0.000
Y1 Y 0.000 0.000 0.500
Zn1 Zn 0.250 0.250 0.750
```

Computed properties:
Its crystal system is cubic. For the density of states at the Fermi level, the calculation gives 5.40 states/eV/f.u.

iii) This record from the Alexandria database describes KYZn after structural relaxation. The functional is GGA-PBE.

Structure (CIF):
```
data_KYZn
_space_group_name_H-M_alt 'P 3 m 1'
_space_group_IT_number 156
_space_group_name_Hall 'P 3 -2"'
_cell_length_a 3.7695
_cell_length_b 3.7695
_cell_length_c 8.4605
_cell_angle_alpha 90.00
_cell_angle_beta 90.00
_cell_angle_gamma 120.00
loop_
_atom_site_label
_atom_site_type_symbol
_atom_site_fract_x
_atom_site_fract_y
_atom_site_fract_z
K1 K 0.0000 0.0000 0.0000
Y1 Y 0.6667 0.3333 0.4388
Zn1 Zn 0.3333 0.6667 0.6766
```

Computed properties:
Its crystal system is trigonal. For the density of states at the Fermi level, the calculation gives 3.50 states/eV/f.u.

Energy ordering: i) at the bottom, the next structure 14.4 kJ/mol of atoms above.

i) This record from the Alexandria database describes KYZn3 after structural relaxation. The functional is GGA-PBE.

Structure (CIF):
```
data_KYZn3
_space_group_name_H-M_alt 'P m -3 m'
_space_group_IT_number 221
_space_group_name_Hall '-P 4 2 3'
_cell_length_a 5.705
_cell_length_b 5.705
_cell_length_c 5.705
_cell_angle_alpha 90.00
_cell_angle_beta 90.00
_cell_angle_gamma 90.00
loop_
_atom_site_label
_atom_site_type_symbol
_atom_site_fract_x
_atom_site_fract_y
_atom_site_fract_z
K1 K 0.000 0.000 0.000
Y1 Y 0.500 0.500 0.500
Zn1 Zn 0.000 0.500 0.500
```

Computed properties:
Its crystal system is cubic. For the density of states at the Fermi level, the calculation gives 3.66 states/eV/f.u.

ii) This record from the Alexandria database describes KYZn3 after structural relaxation. The functional is GGA-PBE.

Structure (CIF):
```
data_KYZn3
_space_group_name_H-M_alt 'P m -3 m'
_space_group_IT_number 221
_space_group_name_Hall '-P 4 2 3'
_cell_length_a 5.265
_cell_length_b 5.265
_cell_length_c 5.265
_cell_angle_alpha 90.00
_cell_angle_beta 90.00
_cell_angle_gamma 90.00
loop_
_atom_site_label
_atom_site_type_symbol
_atom_site_fract_x
_atom_site_fract_y
_atom_site_fract_z
K1 K 0.000 0.000 0.000
Y1 Y 0.500 0.500 0.500
Zn1 Zn 0.000 0.000 0.500
```

Computed properties:
Its crystal system is cubic. For the density of states at the Fermi level, the calculation gives 5.11 states/eV/f.u.

Energy ordering: i) at the bottom, the next structure 39.7 kJ/mol of atoms above.

i) This record from the Alexandria database describes K3YZn after structural relaxation. The functional is GGA-PBE.

Structure (CIF):
```
data_K3YZn
_space_group_name_H-M_alt 'P m -3 m'
_space_group_IT_number 221
_space_group_name_Hall '-P 4 2 3'
_cell_length_a 7.481
_cell_length_b 7.481
_cell_length_c 7.481
_cell_angle_alpha 90.00
_cell_angle_beta 90.00
_cell_angle_gamma 90.00
loop_
_atom_site_label
_atom_site_type_symbol
_atom_site_fract_x
_atom_site_fract_y
_atom_site_fract_z
K1 K 0.000 0.000 0.500
Y1 Y 0.000 0.000 0.000
Zn1 Zn 0.500 0.500 0.500
```

Computed properties:
Its crystal system is cubic. For the density of states at the Fermi level, the calculation gives 6.68 states/eV/f.u.

ii) This record from the Alexandria database describes K3YZn after structural relaxation. The functional is GGA-PBE.

Structure (CIF):
```
data_K3YZn
_space_group_name_H-M_alt 'P m -3 m'
_space_group_IT_number 221
_space_group_name_Hall '-P 4 2 3'
_cell_length_a 6.399
_cell_length_b 6.399
_cell_length_c 6.399
_cell_angle_alpha 90.00
_cell_angle_beta 90.00
_cell_angle_gamma 90.00
loop_
_atom_site_label
_atom_site_type_symbol
_atom_site_fract_x
_atom_site_fract_y
_atom_site_fract_z
K1 K 0.000 0.000 0.500
Y1 Y 0.500 0.500 0.500
Zn1 Zn 0.000 0.000 0.000
```

Computed properties:
Its crystal system is cubic. For the density of states at the Fermi level, the calculation gives 7.83 states/eV/f.u.

Energy ordering: ii) at the bottom, the next structure 32.4 kJ/mol of atoms above.

i) This record from the Alexandria database describes KY2Zr after structural relaxation. The functional is GGA-PBE.

Structure (CIF):
```
data_KY2Zr
_space_group_name_H-M_alt 'C m m m'
_space_group_IT_number 65
_space_group_name_Hall '-C 2 2'
_cell_length_a 7.591
_cell_length_b 9.674
_cell_length_c 3.455
_cell_angle_alpha 90.00
_cell_angle_beta 90.00
_cell_angle_gamma 90.00
loop_
_atom_site_label
_atom_site_type_symbol
_atom_site_fract_x
_atom_site_fract_y
_atom_site_fract_z
K1 K 0.000 0.000 0.000
Y1 Y 0.250 0.250 0.500
Zr1 Zr 0.000 0.500 0.000
```

Computed properties:
Its crystal system is orthorhombic. For the density of states at the Fermi level, the calculation gives 6.96 states/eV/f.u.

ii) This record from the Alexandria database describes KY2Zr after structural relaxation. The functional is GGA-PBE.

Structure (CIF):
```
data_KY2Zr
_space_group_name_H-M_alt 'I m m 2'
_space_group_IT_number 44
_space_group_name_Hall 'I 2 -2'
_cell_length_a 3.489
_cell_length_b 6.079
_cell_length_c 12.441
_cell_angle_alpha 90.00
_cell_angle_beta 90.00
_cell_angle_gamma 90.00
loop_
_atom_site_label
_atom_site_type_symbol
_atom_site_fract_x
_atom_site_fract_y
_atom_site_fract_z
K1 K 0.000 0.000 0.000
Y1 Y 0.000 0.000 0.535
Y2 Y 0.000 0.500 0.773
Zr1 Zr 0.000 0.500 0.246
```

Computed properties:
Its crystal system is orthorhombic. For the density of states at the Fermi level, the calculation gives 5.60 states/eV/f.u.

iii) This record from the Alexandria database describes KY2Zr after structural relaxation. The functional is GGA-PBE.

Structure (CIF):
```
data_KY2Zr
_space_group_name_H-M_alt 'P 1 m 1'
_space_group_IT_number 6
_space_group_name_Hall 'P -2y'
_cell_length_a 3.331
_cell_length_b 5.502
_cell_length_c 8.108
_cell_angle_alpha 90.00
_cell_angle_beta 101.63
_cell_angle_gamma 90.00
loop_
_atom_site_label
_atom_site_type_symbol
_atom_site_fract_x
_atom_site_fract_y
_atom_site_fract_z
K1 K 0.000 0.000 0.000
Y1 Y 0.656 0.500 0.315
Y2 Y 0.764 0.000 0.537
Zr1 Zr 0.325 0.500 0.660
```

Computed properties:
Its crystal system is monoclinic. For the density of states at the Fermi level, the calculation gives 6.03 states/eV/f.u.

Energy ordering: iii) at the bottom, the next structure 8.8 kJ/mol of atoms above.

i) This record from the Alexandria database describes KY2Zr after structural relaxation. The functional is GGA-PBE.

Structure (CIF):
```
data_KY2Zr
_space_group_name_H-M_alt 'C 1 m 1'
_space_group_IT_number 8
_space_group_name_Hall 'C -2y'
_cell_length_a 11.605
_cell_length_b 3.357
_cell_length_c 7.206
_cell_angle_alpha 90.00
_cell_angle_beta 95.66
_cell_angle_gamma 90.00
loop_
_atom_site_label
_atom_site_type_symbol
_atom_site_fract_x
_atom_site_fract_y
_atom_site_fract_z
K1 K 0.000 0.000 0.000
Y1 Y 0.009 0.500 0.527
Y2 Y 0.261 0.500 0.302
Zr1 Zr 0.243 0.000 0.677
```

Computed properties:
Its crystal system is monoclinic. For the density of states at the Fermi level, the calculation gives 6.14 states/eV/f.u.

ii) This record from the Alexandria database describes KY2Zr after structural relaxation. The functional is GGA-PBE.

Structure (CIF):
```
data_KY2Zr
_space_group_name_H-M_alt 'P m m m'
_space_group_IT_number 47
_space_group_name_Hall '-P 2 2'
_cell_length_a 3.524
_cell_length_b 5.902
_cell_length_c 6.186
_cell_angle_alpha 90.00
_cell_angle_beta 90.00
_cell_angle_gamma 90.00
loop_
_atom_site_label
_atom_site_type_symbol
_atom_site_fract_x
_atom_site_fract_y
_atom_site_fract_z
K1 K 0.000 0.000 0.000
Y1 Y 0.000 0.500 0.500
Y2 Y 0.500 0.500 0.000
Zr1 Zr 0.500 0.000 0.500
```

Computed properties:
Its crystal system is orthorhombic. For the density of states at the Fermi level, the calculation gives 6.16 states/eV/f.u.

Energy ordering: i) at the bottom, the next structure 18.6 kJ/mol of atoms above.